DFT (GGA-PBE) results for crystalline CsUNiTe4 at its relaxed geometry.

Properties
* energy relative to the elements, uncorrected: -4.05 eV/f.u.
* size of the total moment: 0.154 μB/atom

Lattice parameters (Å, degrees): 7.320 6.315 10.656 90.00 105.82 90.00
Space group P2_1/m (No. 11)
One atom of each set of equivalent atoms:
Cs  0.224  0.250  0.044 [2 per cell]
U  0.267  0.250  0.551 [2 per cell]
Ni  0.275  0.750  0.358 [2 per cell]
Te  0.004  0.501  0.690 [4 per cell]
Te  0.427  0.750  0.594 [2 per cell]
Te  0.457  0.750  0.189 [2 per cell]



DFT (GGA-PBE) results for crystalline K2Be2Ru at its relaxed geometry.

Properties
* size of the total moment: 0.202 μB/atom
* formation enthalpy at 0 K: 0.981 eV/atom
* distance to the lowest polymorph of the same formula: 0 meV per atom

Lattice parameters (Å, degrees): 2.933 2.933 22.979 90.00 90.00 90.00
Space group I4/mmm (No. 139)
One atom of each set of equivalent atoms:
K  0.000  0.000  0.115 [4 per cell]
Be  0.000  0.500  0.250 [4 per cell]
Ru  0.000  0.000  0.500 [2 per cell]



DFT (GGA-PBE) results for crystalline Al3CrTc at its relaxed geometry.

Properties
* size of the total moment: 0.042 μB/atom
* formation enthalpy at 0 K: 0.885 eV/atom
* distance to the lowest polymorph of the same formula: 0 meV per atom

Lattice parameters (Å, degrees): 4.640 4.640 4.640 90.00 90.00 90.00
Space group Pm-3m (No. 221)
One atom of each set of equivalent atoms:
Al  0.000  0.000  0.500 [3 per cell]
Cr  0.500  0.500  0.500 [1 per cell]
Tc  0.000  0.000  0.000 [1 per cell]



DFT (GGA-PBE) results for crystalline Ho6Tl5Cd at its relaxed geometry.

Properties
* size of the total moment: 0.000 μB/atom
* formation enthalpy at 0 K: -0.331 eV/atom
* distance to the lowest polymorph of the same formula: 0 meV per atom

Lattice parameters (Å, degrees): 5.349 16.080 7.470 90.00 90.00 90.00
Space group Cmmm (No. 65)
One atom of each set of equivalent atoms:
Ho  0.000  0.000  0.249 [4 per cell]
Ho  0.000  0.334  0.248 [8 per cell]
Tl  0.000  0.163  0.000 [4 per cell]
Tl  0.000  0.167  0.500 [4 per cell]
Tl  0.000  0.500  0.500 [2 per cell]
Cd  0.000  0.500  0.000 [2 per cell]



DFT (GGA-PBE) results for crystalline PmPrCo4 at its relaxed geometry.

Properties
* size of the total moment: 0.625 μB/atom
* formation enthalpy at 0 K: -0.026 eV/atom
* distance to the lowest polymorph of the same formula: 47 meV per atom

Lattice parameters (Å, degrees): 7.323 7.323 7.323 90.00 90.00 90.00
Space group F-43m (No. 216)
One atom of each set of equivalent atoms:
Pm  0.000  0.000  0.000 [4 per cell]
Pr  0.250  0.250  0.250 [4 per cell]
Co  0.125  0.125  0.625 [16 per cell]



DFT (GGA-PBE) results for crystalline Dy2SnPb at its relaxed geometry.

Properties
* size of the total moment: 0.000 μB/atom
* formation enthalpy at 0 K: -0.430 eV/atom
* distance to the lowest polymorph of the same formula: 168 meV per atom

Lattice parameters (Å, degrees): 4.7681 4.7681 19.4213 90.00 90.00 120.00
Space group R3m (No. 160, hexagonal axes)
One atom of each set of equivalent atoms:
Dy  0.0000  0.0000  0.0000 [3 per cell]
Dy  0.0000  0.0000  0.1823 [3 per cell]
Sn  0.0000  0.0000  0.5943 [3 per cell]
Pb  0.0000  0.0000  0.7586 [3 per cell]



DFT (GGA-PBE) results for crystalline Nd2DyP3Rh4 at its relaxed geometry.

Properties
* size of the total moment: 0.000 μB/atom
* formation enthalpy at 0 K: -1.063 eV/atom

Lattice parameters (Å, degrees): 4.037 4.037 11.226 90.00 90.00 90.00
Space group P-4m2 (No. 115)
One atom of each set of equivalent atoms:
Nd  0.000  0.500  0.224 [2 per cell]
Dy  0.000  0.000  0.500 [1 per cell]
P  0.000  0.500  0.876 [2 per cell]
P  0.500  0.500  0.500 [1 per cell]
Rh  0.000  0.000  0.000 [1 per cell]
Rh  0.000  0.500  0.668 [2 per cell]
Rh  0.500  0.500  0.000 [1 per cell]



DFT (GGA-PBE) results for crystalline NaZnGaAu at its relaxed geometry.

Properties
* size of the total moment: 0.000 μB/atom
* formation enthalpy at 0 K: -0.160 eV/atom
* distance to the lowest polymorph of the same formula: 34 meV per atom

Lattice parameters (Å, degrees): 6.587 6.587 6.587 90.00 90.00 90.00
Space group F-43m (No. 216)
One atom of each set of equivalent atoms:
Na  0.000  0.000  0.000 [4 per cell]
Zn  0.250  0.250  0.750 [4 per cell]
Ga  0.250  0.250  0.250 [4 per cell]
Au  0.000  0.000  0.500 [4 per cell]



DFT (GGA-PBE) results for crystalline Er5TlPt2 at its relaxed geometry.

Properties
* size of the total moment: 0.000 μB/atom
* formation enthalpy at 0 K: -0.816 eV/atom

Lattice parameters (Å, degrees): 7.816 7.816 13.294 90.00 90.00 90.00
Space group I4/mcm (No. 140)
One atom of each set of equivalent atoms:
Er  0.000  0.000  0.000 [4 per cell]
Er  0.158  0.342  0.137 [16 per cell]
Tl  0.000  0.000  0.250 [4 per cell]
Pt  0.138  0.362  0.500 [8 per cell]



DFT (GGA-PBE) results for crystalline Ce4NiOs at its relaxed geometry.

Properties
* size of the total moment: 0.000 μB/atom
* formation enthalpy at 0 K: -0.092 eV/atom

Lattice parameters (Å, degrees): 8.448 13.100 6.803 90.00 128.35 90.00
Space group C2/c (No. 15)
One atom of each set of equivalent atoms:
Ce  0.241  0.236  0.237 [8 per cell]
Ce  0.246  0.015  0.237 [8 per cell]
Ni  0.000  0.125  0.750 [4 per cell]
Os  0.000  0.375  0.250 [4 per cell]



DFT (GGA-PBE) results for crystalline CaScS2Cl at its relaxed geometry.

Properties
* energy relative to the elements, uncorrected: -8.52 eV/f.u.
* size of the total moment: 0.000 μB/atom
* distance to the lowest polymorph of the same formula: 0 meV per atom

Lattice parameters (Å, degrees): 4.992 4.992 4.842 90.00 90.00 90.00
Space group P4/mmm (No. 123)
One atom of each set of equivalent atoms:
Ca  0.000  0.000  0.000 [1 per cell]
Sc  0.500  0.500  0.500 [1 per cell]
S  0.000  0.500  0.500 [2 per cell]
Cl  0.500  0.500  0.000 [1 per cell]



DFT (GGA-PBE) results for crystalline Sr2LaTc at its relaxed geometry.

Properties
* size of the total moment: 0.278 μB/atom
* formation enthalpy at 0 K: 0.698 eV/atom
* distance to the lowest polymorph of the same formula: 382 meV per atom

Lattice parameters (Å, degrees): 4.700 4.700 11.164 90.00 90.00 90.00
Space group I4/mmm (No. 139)
One atom of each set of equivalent atoms:
Sr  0.000  0.500  0.250 [4 per cell]
La  0.000  0.000  0.000 [2 per cell]
Tc  0.000  0.000  0.500 [2 per cell]



DFT (GGA-PBE) results for crystalline Al2CuCl at its relaxed geometry.

Properties
* energy relative to the elements, uncorrected: 0.05 eV/f.u.
* size of the total moment: 0.000 μB/atom
* distance to the lowest polymorph of the same formula: 238 meV per atom

Lattice parameters (Å, degrees): 3.111 5.408 8.181 90.00 90.00 90.00
Space group Cmmm (No. 65)
One atom of each set of equivalent atoms:
Al  0.000  0.000  0.236 [4 per cell]
Cu  0.000  0.500  0.000 [2 per cell]
Cl  0.000  0.500  0.500 [2 per cell]



DFT (GGA-PBE) results for crystalline CdFePb2 at its relaxed geometry.

Properties
* size of the total moment: 0.679 μB/atom
* formation enthalpy at 0 K: 0.370 eV/atom

Lattice parameters (Å, degrees): 3.2531 3.2531 32.0867 90.00 90.00 120.00
Space group R3m (No. 160, hexagonal axes)
One atom of each set of equivalent atoms:
Cd  0.0000  0.0000  0.0000 [3 per cell]
Fe  0.0000  0.0000  0.7319 [3 per cell]
Pb  0.0000  0.0000  0.2445 [3 per cell]
Pb  0.0000  0.0000  0.4699 [3 per cell]



DFT (GGA-PBE) results for crystalline AcNd2Al2In2 at its relaxed geometry.

Properties
* size of the total moment: 0.000 μB/atom
* formation enthalpy at 0 K: -0.280 eV/atom

Lattice parameters (Å, degrees): 4.7494 4.7494 31.0223 90.00 90.00 120.00
Space group R-3m (No. 166, hexagonal axes)
One atom of each set of equivalent atoms:
Ac  0.0000  0.0000  0.0000 [3 per cell]
Nd  0.0000  0.0000  0.1322 [6 per cell]
Al  0.0000  0.0000  0.4056 [6 per cell]
In  0.0000  0.0000  0.2558 [6 per cell]



DFT (GGA-PBE) results for crystalline PrYZrSc at its relaxed geometry.

Properties
* size of the total moment: 0.004 μB/atom
* formation enthalpy at 0 K: 0.204 eV/atom

Lattice parameters (Å, degrees): 7.670 7.670 7.670 90.00 90.00 90.00
Space group F-43m (No. 216)
One atom of each set of equivalent atoms:
Pr  0.000  0.000  0.000 [4 per cell]
Y  0.250  0.250  0.250 [4 per cell]
Zr  0.000  0.000  0.500 [4 per cell]
Sc  0.250  0.250  0.750 [4 per cell]



DFT (GGA-PBE) results for crystalline RbLa2Ce3Te6 at its relaxed geometry.

Properties
* energy relative to the elements, uncorrected: -15.24 eV/f.u.
* size of the total moment: 0.438 μB/atom

Lattice parameters (Å, degrees): 18.777 4.054 10.643 90.00 106.91 90.00
Space group C2/m (No. 12)
One atom of each set of equivalent atoms:
Rb  0.000  0.000  0.000 [2 per cell]
La  0.161  0.000  0.331 [4 per cell]
Ce  0.000  0.000  0.500 [2 per cell]
Ce  0.153  0.000  0.830 [4 per cell]
Te  0.001  0.500  0.266 [4 per cell]
Te  0.158  0.500  0.583 [4 per cell]
Te  0.171  0.500  0.085 [4 per cell]



DFT (GGA-PBE) results for crystalline AcTbCd at its relaxed geometry.

Properties
* size of the total moment: 0.000 μB/atom
* formation enthalpy at 0 K: 0.490 eV/atom
* distance to the lowest polymorph of the same formula: 659 meV per atom

Lattice parameters (Å, degrees): 10.762 12.641 3.671 90.00 90.00 90.00
Space group Cmmm (No. 65)
One atom of each set of equivalent atoms:
Ac  0.000  0.235  0.000 [4 per cell]
Tb  0.000  0.000  0.500 [2 per cell]
Tb  0.000  0.500  0.000 [2 per cell]
Cd  0.226  0.500  0.500 [4 per cell]



DFT (GGA-PBE) results for crystalline InSb2Au4 at its relaxed geometry.

Properties
* energy relative to the elements, uncorrected: 2.32 eV/f.u.
* size of the total moment: 0.000 μB/atom
* distance to the lowest polymorph of the same formula: 370 meV per atom

Lattice parameters (Å, degrees): 5.280 5.280 13.850 90.00 90.00 90.00
Space group I4/mmm (No. 139)
One atom of each set of equivalent atoms:
In  0.000  0.000  0.000 [2 per cell]
Sb  0.000  0.000  0.386 [4 per cell]
Au  0.000  0.000  0.197 [4 per cell]
Au  0.000  0.500  0.000 [4 per cell]



DFT (GGA-PBE) results for crystalline LiCa2Ni at its relaxed geometry.

Properties
* size of the total moment: 0.000 μB/atom
* formation enthalpy at 0 K: 0.153 eV/atom

Lattice parameters (Å, degrees): 4.318 4.318 10.251 90.00 90.00 90.00
Space group I-4m2 (No. 119)
One atom of each set of equivalent atoms:
Li  0.000  0.000  0.000 [2 per cell]
Ca  0.000  0.000  0.500 [2 per cell]
Ca  0.000  0.500  0.250 [2 per cell]
Ni  0.000  0.500  0.750 [2 per cell]



DFT (GGA-PBE) results for crystalline La3PrNd4Se8 at its relaxed geometry.

Properties
* energy relative to the elements, uncorrected: -30.41 eV/f.u.
* size of the total moment: 0.000 μB/atom

Lattice parameters (Å, degrees): 8.5400 8.5400 20.8721 90.00 90.00 120.00
Space group R-3m (No. 166, hexagonal axes)
One atom of each set of equivalent atoms:
La  0.0000  0.5000  0.0000 [9 per cell]
Pr  0.0000  0.0000  0.0000 [3 per cell]
Nd  0.0000  0.0000  0.5000 [3 per cell]
Nd  0.0000  0.5000  0.5000 [9 per cell]
Se  0.0000  0.0000  0.2484 [6 per cell]
Se  0.0005  0.5003  0.7514 [18 per cell]



DFT (GGA-PBE) results for crystalline LaEuDyTh at its relaxed geometry.

Properties
* size of the total moment: 1.585 μB/atom
* formation enthalpy at 0 K: 0.232 eV/atom

Lattice parameters (Å, degrees): 8.244 8.244 8.244 90.00 90.00 90.00
Space group F-43m (No. 216)
One atom of each set of equivalent atoms:
La  0.000  0.000  0.000 [4 per cell]
Eu  0.250  0.250  0.750 [4 per cell]
Dy  0.000  0.000  0.500 [4 per cell]
Th  0.250  0.250  0.250 [4 per cell]



DFT (GGA-PBE) results for crystalline K3Er2ScTe6 at its relaxed geometry.

Properties
* energy relative to the elements, uncorrected: -16.04 eV/f.u.
* size of the total moment: 0.000 μB/atom

Lattice parameters (Å, degrees): 7.647 13.246 8.609 90.00 107.24 90.00
Space group C2/m (No. 12)
One atom of each set of equivalent atoms:
K  0.000  0.000  0.000 [2 per cell]
K  0.000  0.331  0.000 [4 per cell]
Er  0.000  0.166  0.500 [4 per cell]
Sc  0.000  0.500  0.500 [2 per cell]
Te  0.230  0.338  0.703 [8 per cell]
Te  0.244  0.000  0.704 [4 per cell]



DFT (GGA-PBE) results for crystalline CaFeBr2 at its relaxed geometry.

Properties
* energy relative to the elements, uncorrected: -2.41 eV/f.u.
* size of the total moment: 0.500 μB/atom
* distance to the lowest polymorph of the same formula: 0 meV per atom

Lattice parameters (Å, degrees): 4.051 3.936 7.218 90.00 106.17 90.00
Space group Pm (No. 6)
One atom of each set of equivalent atoms:
Ca  0.000  0.000  0.000 [1 per cell]
Fe  0.432  0.500  0.862 [1 per cell]
Br  0.329  0.000  0.653 [1 per cell]
Br  0.602  0.500  0.206 [1 per cell]



DFT (GGA-PBE) results for crystalline MnCrReOs at its relaxed geometry.

Properties
* size of the total moment: 0.883 μB/atom
* formation enthalpy at 0 K: 0.107 eV/atom

Lattice parameters (Å, degrees): 5.988 5.988 5.988 90.00 90.00 90.00
Space group F-43m (No. 216)
One atom of each set of equivalent atoms:
Mn  0.000  0.000  0.000 [4 per cell]
Cr  0.000  0.000  0.500 [4 per cell]
Re  0.250  0.250  0.250 [4 per cell]
Os  0.250  0.250  0.750 [4 per cell]